(A)
Below is an optimized crystal structure of Ce2YTi, with properties calculated at the PBE level.

Cell and atoms, written as CIF:
```
data_Ce2YTi
_symmetry_space_group_name_H-M 'P 4/m m m'
_symmetry_Int_Tables_number 123
_symmetry_space_group_name_Hall '-P 4 2'
_cell_length_a 3.2530
_cell_length_b 3.2530
_cell_length_c 9.8768
_cell_angle_alpha 90.00
_cell_angle_beta 90.00
_cell_angle_gamma 90.00
loop_
_atom_site_label
_atom_site_fract_x
_atom_site_fract_y
_atom_site_fract_z
Ce1 0.0000 0.0000 0.2231
Y1 0.5000 0.5000 0.5000
Ti1 0.5000 0.5000 0.0000
```

(B)
Below is an optimized crystal structure of Ce2YTi, with properties calculated at the PBE level.

Cell and atoms, written as CIF:
```
data_Ce2YTi
_symmetry_space_group_name_H-M 'R -3 m'
_symmetry_Int_Tables_number 166
_symmetry_space_group_name_Hall '-R 3 2"'
_cell_length_a 3.3233
_cell_length_b 3.3233
_cell_length_c 32.5824
_cell_angle_alpha 90.00
_cell_angle_beta 90.00
_cell_angle_gamma 120.00
loop_
_atom_site_label
_atom_site_fract_x
_atom_site_fract_y
_atom_site_fract_z
Ce1 0.0000 0.0000 0.2427
Y1 0.0000 0.0000 0.0000
Ti1 0.0000 0.0000 0.5000
```

Which of them is most stable? Easy: (A).

(A)
Below is an optimized crystal structure of CeTi2Zn, with properties calculated at the PBE level.

Cell and atoms, written as CIF:
```
data_CeTi2Zn
_symmetry_space_group_name_H-M 'P 4/m m m'
_symmetry_Int_Tables_number 123
_symmetry_space_group_name_Hall '-P 4 2'
_cell_length_a 2.9760
_cell_length_b 2.9760
_cell_length_c 8.4627
_cell_angle_alpha 90.00
_cell_angle_beta 90.00
_cell_angle_gamma 90.00
loop_
_atom_site_label
_atom_site_fract_x
_atom_site_fract_y
_atom_site_fract_z
Ce1 0.0000 0.0000 0.0000
Ti1 0.5000 0.5000 0.2877
Zn1 0.0000 0.0000 0.5000
```

(B)
Below is an optimized crystal structure of CeTi2Zn, with properties calculated at the PBE level.

Cell and atoms, written as CIF:
```
data_CeTi2Zn
_symmetry_space_group_name_H-M 'P 4/m m m'
_symmetry_Int_Tables_number 123
_symmetry_space_group_name_Hall '-P 4 2'
_cell_length_a 4.3485
_cell_length_b 4.3485
_cell_length_c 3.9798
_cell_angle_alpha 90.00
_cell_angle_beta 90.00
_cell_angle_gamma 90.00
loop_
_atom_site_label
_atom_site_fract_x
_atom_site_fract_y
_atom_site_fract_z
Ce1 0.0000 0.0000 0.0000
Ti1 0.0000 0.5000 0.5000
Zn1 0.5000 0.5000 0.0000
```

Which of them is most stable? Easy: (A).

(A)
Below is an optimized crystal structure of Ce2TiZn, with properties calculated at the PBE level.

Cell and atoms, written as CIF:
```
data_Ce2TiZn
_symmetry_space_group_name_H-M 'F m -3 m'
_symmetry_Int_Tables_number 225
_symmetry_space_group_name_Hall '-F 4 2 3'
_cell_length_a 7.2426
_cell_length_b 7.2426
_cell_length_c 7.2426
_cell_angle_alpha 90.00
_cell_angle_beta 90.00
_cell_angle_gamma 90.00
loop_
_atom_site_label
_atom_site_fract_x
_atom_site_fract_y
_atom_site_fract_z
Ce1 0.2500 0.2500 0.2500
Ti1 0.0000 0.0000 0.0000
Zn1 0.0000 0.0000 0.5000
```

(B)
Below is an optimized crystal structure of Ce2TiZn, with properties calculated at the PBE level.

Cell and atoms, written as CIF:
```
data_Ce2TiZn
_symmetry_space_group_name_H-M 'P 4/m m m'
_symmetry_Int_Tables_number 123
_symmetry_space_group_name_Hall '-P 4 2'
_cell_length_a 5.2632
_cell_length_b 5.2632
_cell_length_c 3.3484
_cell_angle_alpha 90.00
_cell_angle_beta 90.00
_cell_angle_gamma 90.00
loop_
_atom_site_label
_atom_site_fract_x
_atom_site_fract_y
_atom_site_fract_z
Ce1 0.0000 0.5000 0.0000
Ti1 0.0000 0.0000 0.5000
Zn1 0.5000 0.5000 0.5000
```

(C)
Below is an optimized crystal structure of Ce2TiZn, with properties calculated at the PBE level.

Cell and atoms, written as CIF:
```
data_Ce2TiZn
_symmetry_space_group_name_H-M 'P 4/m m m'
_symmetry_Int_Tables_number 123
_symmetry_space_group_name_Hall '-P 4 2'
_cell_length_a 3.0411
_cell_length_b 3.0411
_cell_length_c 9.4602
_cell_angle_alpha 90.00
_cell_angle_beta 90.00
_cell_angle_gamma 90.00
loop_
_atom_site_label
_atom_site_fract_x
_atom_site_fract_y
_atom_site_fract_z
Ce1 0.0000 0.0000 0.2476
Ti1 0.5000 0.5000 0.5000
Zn1 0.5000 0.5000 0.0000
```

Which of them is most stable? Easy: (C).

(A)
Below is an optimized crystal structure of CeZrTi2, with properties calculated at the PBE level.

Cell and atoms, written as CIF:
```
data_CeZrTi2
_symmetry_space_group_name_H-M 'P 4/m m m'
_symmetry_Int_Tables_number 123
_symmetry_space_group_name_Hall '-P 4 2'
_cell_length_a 3.6283
_cell_length_b 3.6283
_cell_length_c 6.6575
_cell_angle_alpha 90.00
_cell_angle_beta 90.00
_cell_angle_gamma 90.00
loop_
_atom_site_label
_atom_site_fract_x
_atom_site_fract_y
_atom_site_fract_z
Ce1 0.0000 0.0000 0.0000
Zr1 0.0000 0.0000 0.5000
Ti1 0.5000 0.5000 0.2903
```

(B)
Below is an optimized crystal structure of CeZrTi2, with properties calculated at the PBE level.

Cell and atoms, written as CIF:
```
data_CeZrTi2
_symmetry_space_group_name_H-M 'P 4/m m m'
_symmetry_Int_Tables_number 123
_symmetry_space_group_name_Hall '-P 4 2'
_cell_length_a 4.4465
_cell_length_b 4.4465
_cell_length_c 4.2948
_cell_angle_alpha 90.00
_cell_angle_beta 90.00
_cell_angle_gamma 90.00
loop_
_atom_site_label
_atom_site_fract_x
_atom_site_fract_y
_atom_site_fract_z
Ce1 0.0000 0.0000 0.0000
Zr1 0.5000 0.5000 0.0000
Ti1 0.0000 0.5000 0.5000
```

Which of them is most stable? Easy: (A).

(A)
Below is an optimized crystal structure of CeZr2Ti, with properties calculated at the PBE level.

Cell and atoms, written as CIF:
```
data_CeZr2Ti
_symmetry_space_group_name_H-M 'P 4/m m m'
_symmetry_Int_Tables_number 123
_symmetry_space_group_name_Hall '-P 4 2'
_cell_length_a 3.0863
_cell_length_b 3.0863
_cell_length_c 9.5420
_cell_angle_alpha 90.00
_cell_angle_beta 90.00
_cell_angle_gamma 90.00
loop_
_atom_site_label
_atom_site_fract_x
_atom_site_fract_y
_atom_site_fract_z
Ce1 0.0000 0.0000 0.0000
Zr1 0.5000 0.5000 0.2793
Ti1 0.0000 0.0000 0.5000
```

(B)
Below is an optimized crystal structure of CeZr2Ti, with properties calculated at the PBE level.

Cell and atoms, written as CIF:
```
data_CeZr2Ti
_symmetry_space_group_name_H-M 'P 4/m m m'
_symmetry_Int_Tables_number 123
_symmetry_space_group_name_Hall '-P 4 2'
_cell_length_a 4.5309
_cell_length_b 4.5309
_cell_length_c 4.4550
_cell_angle_alpha 90.00
_cell_angle_beta 90.00
_cell_angle_gamma 90.00
loop_
_atom_site_label
_atom_site_fract_x
_atom_site_fract_y
_atom_site_fract_z
Ce1 0.0000 0.0000 0.0000
Zr1 0.0000 0.5000 0.5000
Ti1 0.5000 0.5000 0.0000
```

Which of them is most stable? Easy: (A).

(A)
Below is an optimized crystal structure of CeZr2Ti, with properties calculated at the PBE level.

Cell and atoms, written as CIF:
```
data_CeZr2Ti
_symmetry_space_group_name_H-M 'R 3 m'
_symmetry_Int_Tables_number 160
_symmetry_space_group_name_Hall 'R 3 -2"'
_cell_length_a 3.1352
_cell_length_b 3.1352
_cell_length_c 31.8582
_cell_angle_alpha 90.00
_cell_angle_beta 90.00
_cell_angle_gamma 120.00
loop_
_atom_site_label
_atom_site_fract_x
_atom_site_fract_y
_atom_site_fract_z
Ce1 0.0000 0.0000 0.0000
Zr1 0.0000 0.0000 0.5766
Zr2 0.0000 0.0000 0.7578
Ti1 0.0000 0.0000 0.1674
```

(B)
Below is an optimized crystal structure of CeZr2Ti, with properties calculated at the PBE level.

Cell and atoms, written as CIF:
```
data_CeZr2Ti
_symmetry_space_group_name_H-M 'R -3 m'
_symmetry_Int_Tables_number 166
_symmetry_space_group_name_Hall '-R 3 2"'
_cell_length_a 3.0969
_cell_length_b 3.0969
_cell_length_c 32.7367
_cell_angle_alpha 90.00
_cell_angle_beta 90.00
_cell_angle_gamma 120.00
loop_
_atom_site_label
_atom_site_fract_x
_atom_site_fract_y
_atom_site_fract_z
Ce1 0.0000 0.0000 0.0000
Zr1 0.0000 0.0000 0.0931
Ti1 0.0000 0.0000 0.5000
```

(C)
Below is an optimized crystal structure of CeZr2Ti, with properties calculated at the PBE level.

Cell and atoms, written as CIF:
```
data_CeZr2Ti
_symmetry_space_group_name_H-M 'F m -3 m'
_symmetry_Int_Tables_number 225
_symmetry_space_group_name_Hall '-F 4 2 3'
_cell_length_a 7.1092
_cell_length_b 7.1092
_cell_length_c 7.1092
_cell_angle_alpha 90.00
_cell_angle_beta 90.00
_cell_angle_gamma 90.00
loop_
_atom_site_label
_atom_site_fract_x
_atom_site_fract_y
_atom_site_fract_z
Ce1 0.0000 0.0000 0.0000
Zr1 0.2500 0.2500 0.2500
Ti1 0.0000 0.0000 0.5000
```

Which of them is most stable? Easy: (A).